Entry 1:
A plane-wave DFT calculation with PBE was carried out for an optimized crystal structure of Ag2GeAuS4.

a b c (Å): 5.6687 5.6687 11.3603
angles (deg): 90.00 90.00 90.00
Last column: nearest neighbours and their distance in Å.
Fractional positions:
Ag: 0.0000 0.5000 0.2500  4 S 2.53
Ag: 0.0000 0.5000 0.7500  4 S 2.53
Ag: 0.5000 0.0000 0.2500  4 S 2.53
Ag: 0.5000 0.0000 0.7500  4 S 2.53
Ge: 0.0000 0.0000 0.0000  4 S 2.27
Ge: 0.5000 0.5000 0.5000  4 S 2.27
Au: 0.0000 0.0000 0.5000  4 S 2.51
Au: 0.5000 0.5000 0.0000  4 S 2.51
S: 0.2319 0.2319 0.1140  1 Ge 2.27, 1 Au 2.51, 2 Ag 2.53
S: 0.2319 0.7681 0.8860  1 Ge 2.27, 1 Au 2.51, 2 Ag 2.53
S: 0.2681 0.2681 0.6140  1 Ge 2.27, 1 Au 2.51, 2 Ag 2.53
S: 0.2681 0.7319 0.3860  1 Ge 2.27, 1 Au 2.51, 2 Ag 2.53
S: 0.7319 0.2681 0.3860  1 Ge 2.27, 1 Au 2.51, 2 Ag 2.53
S: 0.7319 0.7319 0.6140  1 Ge 2.27, 1 Au 2.51, 2 Ag 2.53
S: 0.7681 0.2319 0.8860  1 Ge 2.27, 1 Au 2.51, 2 Ag 2.53
S: 0.7681 0.7681 0.1140  1 Ge 2.27, 1 Au 2.51, 2 Ag 2.53

Calculated values
Density = 5.6 g/cm3
Crystal system = tetragonal
E_form (uncorrected) = -0.11 eV/atom
Total moment = 0.000 μB per cell
Raw total energy = -3.870 eV/atom

Entry 2:
A plane-wave DFT calculation with PBE was carried out for an optimized crystal structure of KLiInF6.

a b c (Å): 7.4957 7.4957 7.4957
angles (deg): 124.33 117.66 88.38
Last column: nearest neighbours and their distance in Å.
Fractional positions:
K: 0.3547 0.1047 0.2500  1 F 2.73
K: 0.6453 0.8953 0.7500  1 F 2.73
Li: 0.0000 0.0000 0.5000  6 F 2.02-2.06
Li: 0.0000 0.5000 0.0000  6 F 2.02-2.06
In: 0.0000 0.5000 0.5000  6 F 2.07-2.15
In: 0.5000 0.5000 0.0000  6 F 2.07-2.15
F: 0.0669 0.4100 0.2264  1 Li 2.02, 1 In 2.07
F: 0.0669 0.8405 0.6569  1 Li 2.02, 1 In 2.07
F: 0.1012 0.8512 0.2500  2 Li 2.06
F: 0.3165 0.1595 0.7264  1 Li 2.02, 1 In 2.07
F: 0.3165 0.5900 0.1569  1 Li 2.02, 1 In 2.07
F: 0.3360 0.5860 0.7500  2 In 2.15
F: 0.6640 0.4140 0.2500  2 In 2.15
F: 0.6835 0.4100 0.8431  1 Li 2.02, 1 In 2.07
F: 0.6835 0.8405 0.2736  1 Li 2.02, 1 In 2.07
F: 0.8988 0.1488 0.7500  2 Li 2.06
F: 0.9331 0.1595 0.3431  1 Li 2.02, 1 In 2.07
F: 0.9331 0.5900 0.7736  1 Li 2.02, 1 In 2.07

Calculated values
Density = 3.1 g/cm3
Crystal system = orthorhombic
E_form (uncorrected) = -2.34 eV/atom
Total moment = 2.014 μB per cell
Raw total energy = -4.224 eV/atom

Entry 3:
A plane-wave DFT calculation with PBE was carried out for an optimized crystal structure of Tb7PmPr3.

a b c (Å): 5.5943 7.0324 10.1280
angles (deg): 70.03 89.96 89.93
Last column: nearest neighbours and their distance in Å.
Fractional positions:
Tb: 0.0000 0.0000 0.0000  4 Pr 3.43
Tb: 0.9998 0.4182 0.1704  3 Tb 3.24-3.34, 5 Pr 3.57-3.62, 1 Pm 3.58
Tb: 0.0002 0.5818 0.8296  3 Tb 3.24-3.34, 5 Pr 3.57-3.62, 1 Pm 3.58
Tb: 0.4999 0.1454 0.7112  3 Tb 3.32-3.60, 2 Pr 3.39
Tb: 0.4998 0.3205 0.3624  5 Tb 3.32-3.60, 2 Pm 3.54-3.55, 2 Pr 3.56
Tb: 0.5002 0.6795 0.6376  5 Tb 3.32-3.60, 2 Pm 3.54-3.55, 2 Pr 3.56
Tb: 0.5001 0.8546 0.2888  3 Tb 3.32-3.60, 2 Pr 3.39
Pm: 0.0000 0.5000 0.5000  2 Pr 3.52, 10 Tb 3.54-3.87
Pr: 0.0000 0.0000 0.5000  2 Pm 3.52, 10 Tb 3.56-3.87
Pr: 0.4995 0.2814 0.0014  1 Pr 3.07, 4 Tb 3.39-3.43
Pr: 0.5005 0.7186 0.9986  1 Pr 3.07, 4 Tb 3.39-3.43

Calculated values
Density = 7.5 g/cm3
Crystal system = triclinic
E above lowest polymorph = 0 meV/atom
Total moment = 0.000 μB per cell
Raw total energy = -4.543 eV/atom

Entry 4:
A plane-wave DFT calculation with PBE was carried out for an optimized crystal structure of YMn3Pt.

a b c (Å): 4.8602 4.8602 4.8602
angles (deg): 90.00 90.00 90.00
Last column: nearest neighbours and their distance in Å.
Fractional positions:
Y: 0.0000 0.0000 0.0000  12 Mn 3.44
Mn: 0.0000 0.5000 0.5000  2 Pt 2.43
Mn: 0.5000 0.0000 0.5000  2 Pt 2.43
Mn: 0.5000 0.5000 0.0000  2 Pt 2.43
Pt: 0.5000 0.5000 0.5000  6 Mn 2.43

Calculated values
Density = 6.5 g/cm3
Crystal system = cubic
E above lowest polymorph = 0 meV/atom
Total moment = 12.161 μB per cell
Raw total energy = -7.567 eV/atom

Entry 5:
A plane-wave DFT calculation with PBE was carried out for an optimized crystal structure of LaTm6Te8.

a b c (Å): 7.9729 7.9729 7.9729
angles (deg): 76.67 76.67 76.67
Last column: nearest neighbours and their distance in Å.
Fractional positions:
La: 0.0000 0.0000 0.0000  6 Te 3.21
Tm: 0.1628 0.4430 0.6199  5 Te 3.03-3.17
Tm: 0.3801 0.8372 0.5570  5 Te 3.03-3.17
Tm: 0.4430 0.6199 0.1628  5 Te 3.03-3.17
Tm: 0.5570 0.3801 0.8372  5 Te 3.03-3.17
Tm: 0.6199 0.1628 0.4430  5 Te 3.03-3.17
Tm: 0.8372 0.5570 0.3801  5 Te 3.03-3.17
Te: 0.1066 0.7982 0.3684  4 Tm 3.03-3.17, 1 La 3.21
Te: 0.2018 0.6316 0.8934  4 Tm 3.03-3.17, 1 La 3.21
Te: 0.2866 0.2866 0.2866  3 Tm 3.06
Te: 0.3684 0.1066 0.7982  4 Tm 3.03-3.17, 1 La 3.21
Te: 0.6316 0.8934 0.2018  4 Tm 3.03-3.17, 1 La 3.21
Te: 0.7134 0.7134 0.7134  3 Tm 3.06
Te: 0.7982 0.3684 0.1066  4 Tm 3.03-3.17, 1 La 3.21
Te: 0.8934 0.2018 0.6316  4 Tm 3.03-3.17, 1 La 3.21

Calculated values
Density = 7.7 g/cm3
Crystal system = trigonal
E_form (uncorrected) = -1.15 eV/atom
Total moment = 0.000 μB per cell
Raw total energy = -4.943 eV/atom

Entry 6:
A plane-wave DFT calculation with PBE was carried out for an optimized crystal structure of GaSn3Sb.

a b c (Å): 5.3202 5.3202 5.3202
angles (deg): 90.00 90.00 90.00
Last column: nearest neighbours and their distance in Å.
Fractional positions:
Ga: 0.0000 0.0000 0.0000  6 Sn 2.66
Sn: 0.0000 0.0000 0.5000  2 Ga 2.66
Sn: 0.0000 0.5000 0.0000  2 Ga 2.66
Sn: 0.5000 0.0000 0.0000  2 Ga 2.66
Sb: 0.5000 0.5000 0.5000  12 Sn 3.76

Calculated values
Density = 6.0 g/cm3
Crystal system = cubic
E above lowest polymorph = 0 meV/atom
E_form (uncorrected) = 0.36 eV/atom
Total moment = 0.000 μB per cell
Raw total energy = -3.467 eV/atom

Entry 7:
A plane-wave DFT calculation with PBE was carried out for an optimized crystal structure of CsCaAsCl6.

a b c (Å): 6.9487 6.9487 7.7328
angles (deg): 90.00 90.00 120.00
Last column: nearest neighbours and their distance in Å.
Fractional positions:
Cs: 0.0000 0.0000 0.0000  6 Cl 3.53
Ca: 0.3333 0.6667 0.5000  6 Cl 2.76
As: 0.6667 0.3333 0.5000  6 Cl 2.53
Cl: 0.3869 0.0244 0.6917  1 As 2.53, 1 Ca 2.76
Cl: 0.3869 0.3624 0.3083  1 As 2.53, 1 Ca 2.76
Cl: 0.6375 0.0244 0.3083  1 As 2.53, 1 Ca 2.76
Cl: 0.6375 0.6131 0.6917  1 As 2.53, 1 Ca 2.76
Cl: 0.9756 0.3624 0.6917  1 As 2.53, 1 Ca 2.76
Cl: 0.9756 0.6131 0.3083  1 As 2.53, 1 Ca 2.76

Calculated values
Density = 2.4 g/cm3
Crystal system = trigonal
E_form (uncorrected) = -1.56 eV/atom
Total moment = 0.000 μB per cell
Raw total energy = -3.626 eV/atom

Entry 8:
A plane-wave DFT calculation with PBE was carried out for an optimized crystal structure of Na2PPtAu.

a b c (Å): 5.3621 5.3621 4.4592
angles (deg): 90.00 90.00 90.00
Last column: nearest neighbours and their distance in Å.
Fractional positions:
Na: 0.0000 0.5000 0.0000  2 P 2.68
Na: 0.5000 0.0000 0.0000  2 P 2.68
P: 0.0000 0.0000 0.0000  2 Au 2.23
Pt: 0.5000 0.5000 0.5000  8 Na 3.49, 4 Au 3.79
Au: 0.0000 0.0000 0.5000  2 P 2.23

Calculated values
Density = 6.1 g/cm3
Crystal system = tetragonal
Total moment = 1.011 μB per cell
Raw total energy = -3.065 eV/atom

Entry 9:
A plane-wave DFT calculation with PBE was carried out for an optimized crystal structure of TaIn2Sb.

a b c (Å): 3.9786 4.8270 9.4974
angles (deg): 90.00 90.00 90.00
Last column: nearest neighbours and their distance in Å.
Fractional positions:
Ta: 0.0000 0.0000 0.0000  8 In 2.93-3.23, 4 Ta 3.13
Ta: 0.5000 0.5000 0.0000  8 In 2.93-3.23, 4 Ta 3.13
In: 0.0000 0.5000 0.2261  4 Ta 2.93-3.23, 4 In 3.13, 2 Sb 3.27
In: 0.0000 0.5000 0.7739  4 Ta 2.93-3.23, 4 In 3.13, 2 Sb 3.27
In: 0.5000 0.0000 0.2261  4 Ta 2.93-3.23, 4 In 3.13, 2 Sb 3.27
In: 0.5000 0.0000 0.7739  4 Ta 2.93-3.23, 4 In 3.13, 2 Sb 3.27
Sb: 0.0000 0.0000 0.5000  4 Sb 3.13, 4 In 3.27
Sb: 0.5000 0.5000 0.5000  4 Sb 3.13, 4 In 3.27

Calculated values
Density = 9.7 g/cm3
Crystal system = orthorhombic
E_form (uncorrected) = 0.30 eV/atom
Total moment = 0.000 μB per cell
Raw total energy = -5.060 eV/atom

Entry 10:
A plane-wave DFT calculation with PBE was carried out for an optimized crystal structure of TbNdTm2Sc.

a b c (Å): 6.1868 5.5498 9.4155
angles (deg): 90.00 109.06 90.00
Last column: nearest neighbours and their distance in Å.
Fractional positions:
Tb: 0.1338 0.2500 0.1015  7 Tm 3.45-3.63, 2 Tb 3.47, 1 Sc 3.54, 2 Nd 3.58-3.60
Tb: 0.8662 0.7500 0.8985  7 Tm 3.45-3.63, 2 Tb 3.47, 1 Sc 3.54, 2 Nd 3.58-3.60
Nd: 0.2659 0.7500 0.6937  4 Sc 3.44-3.61, 6 Tm 3.45-3.64, 2 Tb 3.58-3.60
Nd: 0.7341 0.2500 0.3063  4 Sc 3.44-3.61, 6 Tm 3.45-3.64, 2 Tb 3.58-3.60
Tm: 0.0714 0.7500 0.3059  4 Sc 3.44-3.61, 3 Nd 3.45-3.47, 3 Tb 3.47-3.63, 2 Tm 3.56-3.61
Tm: 0.4659 0.7500 0.1021  4 Tb 3.45-3.59, 3 Nd 3.47-3.64, 4 Tm 3.48-3.61, 1 Sc 3.55
Tm: 0.5341 0.2500 0.8979  4 Tb 3.45-3.59, 3 Nd 3.47-3.64, 4 Tm 3.48-3.61, 1 Sc 3.55
Tm: 0.9286 0.2500 0.6941  4 Sc 3.44-3.61, 3 Nd 3.45-3.47, 3 Tb 3.47-3.63, 2 Tm 3.56-3.61
Sc: 0.3439 0.2500 0.4994  2 Sc 3.38, 5 Tm 3.44-3.61, 4 Nd 3.44-3.61, 1 Tb 3.54
Sc: 0.6561 0.7500 0.5006  2 Sc 3.38, 5 Tm 3.44-3.61, 4 Nd 3.44-3.61, 1 Tb 3.54

Calculated values
Density = 7.5 g/cm3
Crystal system = monoclinic
Total moment = 0.004 μB per cell
Raw total energy = -4.910 eV/atom

Entry 11:
A plane-wave DFT calculation with PBE was carried out for an optimized crystal structure of LiMg6Cd4.

a b c (Å): 9.4916 9.4916 3.1905
angles (deg): 90.00 90.00 120.00
Last column: nearest neighbours and their distance in Å.
Fractional positions:
Li: 0.0000 0.0000 0.0000  6 Cd 3.17, 2 Li 3.19, 6 Mg 3.39
Mg: 0.0477 0.5239 0.0000  5 Cd 3.02-3.13, 6 Mg 3.19-3.28
Mg: 0.3634 0.1817 0.5000  4 Cd 2.87-2.96, 2 Mg 3.19
Mg: 0.4761 0.5239 0.0000  5 Cd 3.02-3.13, 6 Mg 3.19-3.28
Mg: 0.4761 0.9523 0.0000  5 Cd 3.02-3.13, 6 Mg 3.19-3.28
Mg: 0.8183 0.1817 0.5000  4 Cd 2.87-2.96, 2 Mg 3.19
Mg: 0.8183 0.6366 0.5000  4 Cd 2.87-2.96, 2 Mg 3.19
Cd: 0.1668 0.3336 0.5000  6 Mg 2.87-3.02, 2 Li 3.17, 2 Cd 3.19
Cd: 0.1668 0.8332 0.5000  6 Mg 2.87-3.02, 2 Li 3.17, 2 Cd 3.19
Cd: 0.6664 0.8332 0.5000  6 Mg 2.87-3.02, 2 Li 3.17, 2 Cd 3.19
Cd: 0.6667 0.3333 0.0000  9 Mg 2.96-3.13, 2 Cd 3.19

Calculated values
Density = 4.0 g/cm3
Crystal system = hexagonal
Total moment = 0.000 μB per cell
Raw total energy = -1.450 eV/atom

Entry 12:
A plane-wave DFT calculation with PBE was carried out for an optimized crystal structure of Rb3Ac3TbTe8.

a b c (Å): 9.5529 9.5529 10.3420
angles (deg): 117.57 117.57 59.93
Last column: nearest neighbours and their distance in Å.
Fractional positions:
Rb: 0.0000 0.0000 0.0000  6 Te 3.72-3.75
Rb: 0.0000 0.5000 0.0000  6 Te 3.72-3.75
Rb: 0.5000 0.0000 0.0000  6 Te 3.72-3.75
Ac: 0.0000 0.5000 0.5000  6 Te 3.34
Ac: 0.5000 0.0000 0.5000  6 Te 3.34
Ac: 0.5000 0.5000 0.5000  6 Te 3.34
Tb: 0.0000 0.0000 0.5000  6 Te 3.14
Te: 0.2244 0.2244 0.7010  1 Tb 3.14, 2 Ac 3.34
Te: 0.2244 0.7524 0.7011  1 Tb 3.14, 2 Ac 3.34
Te: 0.2476 0.7756 0.2989  1 Tb 3.14, 2 Ac 3.34
Te: 0.2617 0.2617 0.2850  3 Ac 3.34, 3 Rb 3.72
Te: 0.7383 0.7383 0.7150  3 Ac 3.34, 3 Rb 3.72
Te: 0.7524 0.2244 0.7011  1 Tb 3.14, 2 Ac 3.34
Te: 0.7756 0.2476 0.2989  1 Tb 3.14, 2 Ac 3.34
Te: 0.7756 0.7756 0.2990  1 Tb 3.14, 2 Ac 3.34

Calculated values
Density = 5.1 g/cm3
Crystal system = monoclinic
E_form (uncorrected) = -1.37 eV/atom
Total moment = 0.000 μB per cell
Raw total energy = -4.368 eV/atom

- Which value of raw total energy does entry 5 give?
  -4.943 eV/atom

- Which value of raw total energy does entry 6 give?
  -3.467 eV/atom